Computed, not measured: an optimized crystal structure of LiRuPt at the PBE level of DFT.

```
3
Lattice="6.3215 -0.0082 0.0000 5.1825 3.6198 0.0000 -5.7520 -1.8058 1.9013" Properties=species:S:1:pos:R:3 pbc="T T T"
Pt 3.8065 1.1950 0.0000
Li 11.4658 3.5996 0.0000
Ru 7.7358 2.4286 0.0000
```

Values from the calculation:
formation enthalpy at 0 K = 2.5 kJ/mol of formula units
Fermi-level density of states = 3.01 states/eV per cell
distance to the lowest polymorph of the same formula = 6.8 kJ per mole of atoms
space-group type = I4mm, No. 107